LaSc5 (PBE-GGA, optimized geometry); symmetry = P4/mmm; raw total energy = -6.03 eV/atom; DFT formation energy = 70 meV per atom; density of states at the Fermi level = 11.60 states/eV/f.u.
1.0
3.332 0.000 0.000
0.000 3.332 0.000
0.000 0.000 14.269
La Sc
1 5
direct
0.000 0.000 0.000 La
0.000 0.000 0.342 Sc
0.000 0.000 0.658 Sc
0.500 0.500 0.185 Sc
0.500 0.500 0.500 Sc
0.500 0.500 0.815 Sc